Record 1
Below is crystalline PaAlTc at its relaxed geometry, with properties calculated at the PBE level.

Lattice parameters (Å, degrees): 10.807 4.693 4.940 90.00 104.26 90.00
Space group C2/m (No. 12)
Inequivalent atoms, fractional coordinates:
Pa  0.128  0.000  0.312 x4
Al  0.078  0.500  0.798 x4
Tc  0.187  0.000  0.835 x4

## Properties
The total energy is -8.295 eV/atom. As for the offset from the most stable computed form: 0 meV/atom.

Record 2
Below is crystalline PaAlTc at its relaxed geometry, with properties calculated at the PBE level.

Lattice parameters (Å, degrees): 6.338 6.338 6.338 90.00 90.00 90.00
Space group F-43m (No. 216)
Inequivalent atoms, fractional coordinates:
Pa  0.000  0.000  0.000 x4
Al  0.250  0.250  0.250 x4
Tc  0.000  0.000  0.500 x4

## Properties
The total energy is -7.464 eV/atom. As for the offset from the most stable computed form: 831 meV/atom.